No. 1
## Y2B2Pd (PBE)

Data for an optimized crystal structure of Y2B2Pd.

Values from the calculation:
Energy, eV for the cell shown: -67.2
Symmetry: P4/mbm (127)

Cell: 6.6029 6.6029 3.7387 Å, 90.00 90.00 90.00°
With the nearest neighbours (Å) after each atom.
Atoms (fractional coordinates):
Y1 0.1860 0.3140 0.0000  6 B 2.69-2.80
Y2 0.3140 0.8140 0.0000  6 B 2.69-2.80
Y3 0.6860 0.1860 0.0000  6 B 2.69-2.80
Y4 0.8140 0.6860 0.0000  6 B 2.69-2.80
B1 0.0905 0.5905 0.5000  1 B 1.69
B2 0.4095 0.0905 0.5000  1 B 1.69
B3 0.5905 0.9095 0.5000  1 B 1.69
B4 0.9095 0.4095 0.5000  1 B 1.69
Pd1 0.0000 0.0000 0.5000  4 B 2.77, 8 Y 3.05
Pd2 0.5000 0.5000 0.5000  4 B 2.77, 8 Y 3.05

***

No. 2
## LaTa2Ag (PBE)

Data for an optimized crystal structure of LaTa2Ag.

Values from the calculation:
Energy, eV for the cell shown: -29.8
Symmetry: F-43m (216)

Cell: 4.9391 4.9391 4.9391 Å, 60.00 60.00 60.00°
With the nearest neighbours (Å) after each atom.
Atoms (fractional coordinates):
La1 0.0000 0.0000 0.0000  4 Ta 3.02, 4 Ag 3.02
Ta1 0.5000 0.5000 0.5000  4 Ta 3.02, 4 Ag 3.02
Ta2 0.7500 0.7500 0.7500  4 Ta 3.02, 4 La 3.02
Ag1 0.2500 0.2500 0.2500  4 Ta 3.02, 4 La 3.02

***

No. 3
## SmGdAlFe (PBE)

Data for an optimized crystal structure of SmGdAlFe.

Values from the calculation:
Energy, eV for the cell shown: -31.1
Symmetry: F-43m (216)

Cell: 5.0603 5.0603 5.0603 Å, 60.00 60.00 60.00°
With the nearest neighbours (Å) after each atom.
Atoms (fractional coordinates):
Sm1 0.0000 0.0000 0.0000  4 Fe 3.10, 4 Al 3.10
Gd1 0.5000 0.5000 0.5000  4 Fe 3.10, 4 Al 3.10
Al1 0.7500 0.7500 0.7500  4 Gd 3.10, 4 Sm 3.10
Fe1 0.2500 0.2500 0.2500  4 Gd 3.10, 4 Sm 3.10

***

No. 4
## Os2AuSe (PBE)

Data for an optimized crystal structure of Os2AuSe.

Values from the calculation:
Energy, eV for the cell shown: -26.5
Symmetry: Cmm2 (35)

Cell: 2.8025 2.8025 10.3082 Å, 90.00 90.00 120.55°
With the nearest neighbours (Å) after each atom.
Atoms (fractional coordinates):
Os1 0.0000 0.0000 0.0000  8 Os 2.57-2.80
Os2 0.5000 0.5000 0.2092  8 Os 2.57-2.80, 2 Se 2.71
Au1 0.5000 0.5000 0.7494  6 Au 2.78-2.80, 2 Os 2.93
Se1 0.0000 0.0000 0.4350  2 Os 2.71, 6 Se 2.78-2.80

***

No. 5
## SrAgSCl2 (PBE)

Data for an optimized crystal structure of SrAgSCl2.

Values from the calculation:
Energy, eV for the cell shown: -17.5
Symmetry: P4/mmm (123)

Cell: 4.9937 4.9937 5.0732 Å, 90.00 90.00 90.00°
With the nearest neighbours (Å) after each atom.
Atoms (fractional coordinates):
Sr1 0.0000 0.0000 0.0000  4 S 3.53, 8 Cl 3.56
Ag1 0.5000 0.5000 0.5000  4 Cl 2.50, 2 S 2.54
S1 0.5000 0.5000 0.0000  2 Ag 2.54
Cl1 0.0000 0.5000 0.5000  2 Ag 2.50
Cl2 0.5000 0.0000 0.5000  2 Ag 2.50

***

No. 6
## La4SiCl6 (PBE)

Data for an optimized crystal structure of La4SiCl6.

Values from the calculation:
Energy, eV for the cell shown: -110.7
Symmetry: P4_2/nmc (137)

Cell: 9.8488 9.8488 6.8182 Å, 90.00 90.00 90.00°
With the nearest neighbours (Å) after each atom.
Atoms (fractional coordinates):
La1 0.0004 0.2500 0.0774  1 Si 2.73, 2 Cl 2.94-3.05
La2 0.9996 0.7500 0.9226  1 Si 2.73, 2 Cl 2.94-3.05
La3 0.2500 0.0004 0.5774  1 Si 2.73, 2 Cl 2.94-3.05
La4 0.2500 0.4996 0.5774  1 Si 2.73, 2 Cl 2.94-3.05
La5 0.4996 0.2500 0.0774  1 Si 2.73, 2 Cl 2.94-3.05
La6 0.5004 0.7500 0.9226  1 Si 2.73, 2 Cl 2.94-3.05
La7 0.7500 0.9996 0.4226  1 Si 2.73, 2 Cl 2.94-3.05
La8 0.7500 0.5004 0.4226  1 Si 2.73, 2 Cl 2.94-3.05
Si1 0.2500 0.7500 0.7500  4 La 2.73
Si2 0.7500 0.2500 0.2500  4 La 2.73
Cl1 0.0406 0.5406 0.2500  4 La 3.07-3.12
Cl2 0.0406 0.9594 0.2500  4 La 3.07-3.12
Cl3 0.2500 0.2500 0.3126  4 La 2.94-3.05
Cl4 0.2500 0.2500 0.8126  4 La 2.94-3.05
Cl5 0.4594 0.5406 0.2500  4 La 3.07-3.12
Cl6 0.4594 0.9594 0.2500  4 La 3.07-3.12
Cl7 0.5406 0.0406 0.7500  4 La 3.07-3.12
Cl8 0.5406 0.4594 0.7500  4 La 3.07-3.12
Cl9 0.7500 0.7500 0.1874  4 La 2.94-3.05
Cl10 0.7500 0.7500 0.6874  4 La 2.94-3.05
Cl11 0.9594 0.0406 0.7500  4 La 3.07-3.12
Cl12 0.9594 0.4594 0.7500  4 La 3.07-3.12

***

No. 7
## MgSb2W (PBE)

Data for an optimized crystal structure of MgSb2W.

Values from the calculation:
Energy, eV for the cell shown: -20.4
Symmetry: I-4m2 (119)

Cell: 5.6858 5.6858 5.6858 Å, 136.97 136.97 62.48°
With the nearest neighbours (Å) after each atom.
Atoms (fractional coordinates):
Mg1 0.0000 0.0000 0.0000  8 Sb 2.95-3.20, 4 W 3.20
Sb1 0.2500 0.7500 0.5000  4 W 2.95, 4 Sb 3.20, 4 Mg 3.20
Sb2 0.5000 0.5000 0.0000  4 Mg 2.95, 4 W 3.20, 4 Sb 3.20
W1 0.7500 0.2500 0.5000  8 Sb 2.95-3.20, 4 Mg 3.20

***

No. 8
## ZrTc4Pt (PBE)

Data for an optimized crystal structure of ZrTc4Pt.

Values from the calculation:
Energy, eV for the cell shown: -56.5
Symmetry: F-43m (216)

Cell: 5.1744 5.1744 5.1744 Å, 60.00 60.00 60.00°
With the nearest neighbours (Å) after each atom.
Atoms (fractional coordinates):
Zr1 0.0000 0.0000 0.0000  12 Tc 3.04, 4 Pt 3.17
Tc1 0.3765 0.3765 0.3765  6 Tc 2.56-2.62
Tc2 0.3765 0.3765 0.8706  6 Tc 2.56-2.62
Tc3 0.3765 0.8706 0.3765  6 Tc 2.56-2.62
Tc4 0.8706 0.3765 0.3765  6 Tc 2.56-2.62
Pt1 0.7500 0.7500 0.7500  12 Tc 3.03, 4 Zr 3.17

***

No. 9
## Ac2Zn2CuPd5 (PBE)

Data for an optimized crystal structure of Ac2Zn2CuPd5.

Values from the calculation:
Energy, eV for the cell shown: -91.6
Symmetry: P4/mbm (127)

Cell: 10.0636 10.0636 3.8485 Å, 90.00 90.00 90.00°
With the nearest neighbours (Å) after each atom.
Atoms (fractional coordinates):
Ac1 0.1828 0.3172 0.0000  3 Zn 2.88-3.07
Ac2 0.3172 0.8172 0.0000  3 Zn 2.88-3.07
Ac3 0.6828 0.1828 0.0000  3 Zn 2.88-3.07
Ac4 0.8172 0.6828 0.0000  3 Zn 2.88-3.07
Zn1 0.1151 0.6151 0.0000  6 Pd 2.53-2.72
Zn2 0.3849 0.1151 0.0000  6 Pd 2.53-2.72
Zn3 0.6151 0.8849 0.0000  6 Pd 2.53-2.72
Zn4 0.8849 0.3849 0.0000  6 Pd 2.53-2.72
Cu1 0.0000 0.0000 0.0000  8 Pd 2.86
Cu2 0.5000 0.5000 0.0000  8 Pd 2.86
Pd1 0.0000 0.5000 0.5000  4 Zn 2.53
Pd2 0.0579 0.7981 0.5000  2 Zn 2.72, 2 Cu 2.86, 2 Pd 2.99
Pd3 0.2019 0.0579 0.5000  2 Zn 2.72, 2 Cu 2.86, 2 Pd 2.99
Pd4 0.2981 0.5579 0.5000  2 Zn 2.72, 2 Cu 2.86, 2 Pd 2.99
Pd5 0.4421 0.2981 0.5000  2 Zn 2.72, 2 Cu 2.86, 2 Pd 2.99
Pd6 0.5000 0.0000 0.5000  4 Zn 2.53
Pd7 0.5579 0.7019 0.5000  2 Zn 2.72, 2 Cu 2.86, 2 Pd 2.99
Pd8 0.7019 0.4421 0.5000  2 Zn 2.72, 2 Cu 2.86, 2 Pd 2.99
Pd9 0.7981 0.9421 0.5000  2 Zn 2.72, 2 Cu 2.86, 2 Pd 2.99
Pd10 0.9421 0.2019 0.5000  2 Zn 2.72, 2 Cu 2.86, 2 Pd 2.99

***

No. 10
## Mg3Cu2Cl8 (PBE)

Data for an optimized crystal structure of Mg3Cu2Cl8.

Values from the calculation:
Energy, eV for the cell shown: -46.0
Symmetry: C2/m (12)

Cell: 7.7932 7.7932 6.4069 Å, 106.61 106.61 56.45°
With the nearest neighbours (Å) after each atom.
Atoms (fractional coordinates):
Mg1 0.0000 0.0000 0.0000  6 Cl 2.52-2.53
Mg2 0.2517 0.7483 0.5000  6 Cl 2.52-2.54
Mg3 0.7483 0.2517 0.5000  6 Cl 2.52-2.54
Cu1 0.3982 0.3982 0.9343  3 Cl 2.26-2.27
Cu2 0.6018 0.6018 0.0657  3 Cl 2.26-2.27
Cl1 0.1047 0.1047 0.7424  3 Mg 2.52-2.54
Cl2 0.1259 0.6519 0.7471  1 Cu 2.26, 2 Mg 2.53
Cl3 0.3481 0.8741 0.2529  1 Cu 2.26, 2 Mg 2.53
Cl4 0.3865 0.3865 0.2790  1 Cu 2.27, 2 Mg 2.52
Cl5 0.6135 0.6135 0.7210  1 Cu 2.27, 2 Mg 2.52
Cl6 0.6519 0.1259 0.7471  1 Cu 2.26, 2 Mg 2.53
Cl7 0.8741 0.3481 0.2529  1 Cu 2.26, 2 Mg 2.53
Cl8 0.8953 0.8953 0.2576  3 Mg 2.52-2.54

***

No. 11
## La2Co12As7 (PBE)

Data for an optimized crystal structure of La2Co12As7.

Values from the calculation:
Energy, eV for the cell shown: -136.9
Symmetry: P-6 (174)

Cell: 9.4416 9.4416 3.8176 Å, 90.00 90.00 120.00°
With the nearest neighbours (Å) after each atom.
Atoms (fractional coordinates):
La1 0.0000 0.0000 0.0000  6 As 3.04, 12 Co 3.13-3.32
La2 0.3333 0.6667 0.5000  6 As 3.02, 9 Co 3.09-3.28
Co1 0.0427 0.2818 0.5000  4 As 2.37-2.45
Co2 0.0998 0.7088 0.0000  4 As 2.38-2.39, 1 Co 2.57
Co3 0.2391 0.9573 0.5000  4 As 2.37-2.45
Co4 0.2912 0.3910 0.0000  4 As 2.38-2.39, 1 Co 2.57
Co5 0.3923 0.1840 0.0000  4 As 2.25-2.39
Co6 0.5481 0.4338 0.5000  5 As 2.37-2.62
Co7 0.5662 0.1142 0.5000  5 As 2.37-2.62
Co8 0.6090 0.9002 0.0000  4 As 2.38-2.39, 1 Co 2.57
Co9 0.7182 0.7609 0.5000  4 As 2.37-2.45
Co10 0.7916 0.6077 0.0000  4 As 2.25-2.39
Co11 0.8160 0.2084 0.0000  4 As 2.25-2.39
Co12 0.8858 0.4519 0.5000  5 As 2.37-2.62
As1 0.0676 0.4415 0.0000  5 Co 2.29-2.39
As2 0.2680 0.2298 0.5000  7 Co 2.37-2.45
As3 0.3738 0.9324 0.0000  5 Co 2.29-2.39
As4 0.5585 0.6262 0.0000  5 Co 2.29-2.39
As5 0.6667 0.3333 0.0000  3 Co 2.25
As6 0.7702 0.0383 0.5000  7 Co 2.37-2.45
As7 0.9617 0.7320 0.5000  7 Co 2.37-2.45

***

No. 12
## CuSn3Rh (PBE)

Data for an optimized crystal structure of CuSn3Rh.

Values from the calculation:
Energy, eV for the cell shown: -21.9
Symmetry: Pm-3m (221)

Cell: 5.1140 5.1140 5.1140 Å, 90.00 90.00 90.00°
With the nearest neighbours (Å) after each atom.
Atoms (fractional coordinates):
Cu1 0.0000 0.0000 0.0000  12 Sn 3.62
Sn1 0.0000 0.5000 0.5000  2 Rh 2.56
Sn2 0.5000 0.0000 0.5000  2 Rh 2.56
Sn3 0.5000 0.5000 0.0000  2 Rh 2.56
Rh1 0.5000 0.5000 0.5000  6 Sn 2.56